Version 1
6
Lattice="6.031 -1.566 1.137 1.828 -1.502 5.875 1.504 -5.987 1.416" Properties=species:S:1:pos:R:3 comment="MnCrBr4 (PBE, relaxed)" magmom_total_mub_per_fu=2.5 pbc="T T T"
Mn 0.000 0.000 0.000
Br 6.528 -4.178 3.729
Br 4.263 -6.391 3.868
Br 4.425 -4.146 6.099
Cr 7.022 -6.791 6.321
Br 3.510 -3.395 3.160

=====

Version 2
6
Lattice="3.885 0.000 0.000 0.000 6.892 -0.540 0.000 0.030 6.662" Properties=species:S:1:pos:R:3 comment="MnCrBr4 (PBE, relaxed)" magmom_total_mub_per_fu=9.0 pbc="T T T"
Mn 0.000 0.000 0.000
Cr 1.942 0.015 3.331
Br 1.942 5.419 4.977
Br 1.942 1.504 1.145
Br 0.000 1.512 4.436
Br 0.000 5.410 1.686

=====

Which is most stable? The ranking, best first, is version 2, version 1.

=====

Version 1
8
Lattice="-4.161 4.308 -3.614 0.864 -3.953 -5.707 -3.902 -1.380 -3.922" Properties=species:S:1:pos:R:3 comment="Cr2MoBr (PBE, relaxed)" magmom_total_mub_per_fu=5.0 pbc="T T T"
Mo -4.856 1.553 -6.098
Mo 0.000 0.000 0.000
Cr -5.810 -0.735 -11.112
Cr -0.945 -2.288 -4.989
Br -1.649 0.178 -4.660
Cr -4.166 -0.891 -6.421
Br -2.344 -2.577 -7.144
Cr -3.480 1.865 -3.962

=====

Version 2
4
Lattice="3.111 0.656 0.000 -0.692 3.103 0.000 0.000 0.000 6.908" Properties=species:S:1:pos:R:3 comment="Cr2MoBr (PBE, relaxed)" magmom_total_mub_per_fu=4.8 pbc="T T T"
Cr 0.000 0.000 0.316
Mo 1.210 1.880 1.727
Cr 0.000 0.000 3.138
Br 1.210 1.880 5.181

=====

Which is most stable? The ranking, best first, is version 2, version 1.

=====

Version 1
4
Lattice="8.106 -0.042 -0.025 7.543 2.969 -0.025 7.543 1.411 2.612" Properties=species:S:1:pos:R:3 comment="Cr2MoBr (PBE, relaxed)" magmom_total_mub_per_fu=2.2 pbc="T T T"
Cr 5.807 1.086 0.642
Cr 23.033 4.307 2.545
Br 17.261 3.228 1.907
Mo 11.878 2.221 1.312

=====

Version 2
4
Lattice="-5.043 1.299 6.237 -6.884 -0.406 4.297 -4.851 -1.867 6.245" Properties=species:S:1:pos:R:3 comment="Cr2MoBr (PBE, relaxed)" magmom_total_mub_per_fu=5.1 pbc="T T T"
Br -12.584 -0.730 12.584
Cr -8.496 -0.493 8.496
Mo -4.195 -0.243 4.195
Cr -16.671 -0.968 16.672

=====

Version 3
4
Lattice="-2.432 -3.826 0.207 4.007 -1.447 -1.562 0.950 -0.450 2.853" Properties=species:S:1:pos:R:3 comment="Cr2MoBr (PBE, relaxed)" magmom_total_mub_per_fu=3.2 pbc="T T T"
Br 2.478 -0.948 0.645
Cr 0.788 -2.636 -0.678
Mo -0.741 -2.138 1.530
Cr 0.000 0.000 0.000

=====

Version 4
4
Lattice="3.162 0.000 0.000 0.000 3.339 -0.024 0.000 1.545 6.507" Properties=species:S:1:pos:R:3 comment="Cr2MoBr (PBE, relaxed)" magmom_total_mub_per_fu=0.0 pbc="T T T"
Cr 1.581 1.415 1.413
Mo 0.000 3.082 2.635
Br 1.581 3.107 5.199
Cr 0.000 3.061 0.453

=====

Which is most stable? The ranking, best first, is version 2, version 4, version 1, version 3.

=====

Version 1
4
Lattice="3.002 0.000 0.000 0.000 3.002 0.000 0.000 0.000 7.024" Properties=species:S:1:pos:R:3 comment="Cr2MoBr (PBE, relaxed)" magmom_total_mub_per_fu=1.6 pbc="T T T"
Mo 0.000 0.000 3.253
Cr 1.501 1.501 1.714
Br 1.501 1.501 5.218
Cr 0.000 0.000 0.351

=====

Version 2
4
Lattice="0.000 3.063 3.063 3.063 0.000 3.063 3.063 3.063 0.000" Properties=species:S:1:pos:R:3 comment="Cr2MoBr (PBE, relaxed)" magmom_total_mub_per_fu=0.0 pbc="T T T"
Mo 3.063 3.063 3.063
Br 0.000 0.000 0.000
Cr 4.595 4.595 4.595
Cr 1.532 1.532 1.532

=====

Version 3
4
Lattice="4.409 0.000 0.000 2.205 3.819 0.000 2.205 1.273 3.600" Properties=species:S:1:pos:R:3 comment="Cr2MoBr (PBE, relaxed)" magmom_total_mub_per_fu=0.3 pbc="T T T"
Br 4.409 2.546 1.800
Mo 2.205 1.273 0.900
Cr 0.000 0.000 0.000
Cr 6.614 3.819 2.700

=====

Which is most stable? The ranking, best first, is version 1, version 3, version 2.

=====

Version 1
4
Lattice="5.226 0.078 -0.025 2.512 4.583 0.025 -3.392 -3.122 2.463" Properties=species:S:1:pos:R:3 comment="Cr2MoBr (PBE, relaxed)" magmom_total_mub_per_fu=0.6 pbc="T T T"
Mo 3.811 2.296 0.000
Br 1.421 1.852 1.244
Cr 0.030 0.018 0.000
Cr 2.952 -0.296 1.219

=====

Version 2
4
Lattice="2.998 0.000 0.000 0.000 4.369 0.000 0.000 0.000 4.369" Properties=species:S:1:pos:R:3 comment="Cr2MoBr (PBE, relaxed)" magmom_total_mub_per_fu=0.9 pbc="T T T"
Cr 0.000 2.184 2.184
Mo 1.499 2.184 0.000
Cr 0.000 0.000 0.000
Br 1.499 0.000 2.184

=====

Version 3
4
Lattice="4.786 -0.018 0.000 1.227 4.626 0.000 -3.006 -2.304 2.925" Properties=species:S:1:pos:R:3 comment="Cr2MoBr (PBE, relaxed)" magmom_total_mub_per_fu=4.3 pbc="T T T"
Cr 0.000 0.000 0.000
Mo 0.614 2.313 1.463
Cr 3.006 2.304 0.000
Br 2.393 -0.009 1.463

=====

Version 4
4
Lattice="-0.048 1.551 4.513 0.064 -1.426 4.554 4.453 0.185 1.322" Properties=species:S:1:pos:R:3 comment="Cr2MoBr (PBE, relaxed)" magmom_total_mub_per_fu=0.2 pbc="T T T"
Mo 2.023 0.147 5.178
Br 1.280 0.085 2.713
Cr 4.186 0.175 1.344
Cr 3.667 0.243 7.671

=====

Which is most stable? The ranking, best first, is version 4, version 1, version 2, version 3.

=====

Version 1
5
Lattice="4.729 0.000 0.000 0.000 4.729 0.000 0.000 0.000 4.729" Properties=species:S:1:pos:R:3 comment="CrBr3N (PBE, relaxed)" magmom_total_mub_per_fu=4.5 pbc="T T T"
Br 0.000 2.365 0.000
Cr 2.365 2.365 2.365
Br 2.365 0.000 0.000
Br 0.000 0.000 2.365
N 0.000 0.000 0.000

=====

Version 2
5
Lattice="4.841 0.000 0.000 0.000 4.841 0.000 0.000 0.000 4.841" Properties=species:S:1:pos:R:3 comment="CrBr3N (PBE, relaxed)" magmom_total_mub_per_fu=0.0 pbc="T T T"
Br 0.000 2.421 0.000
Br 0.000 0.000 2.421
Br 2.421 0.000 0.000
N 2.421 2.421 2.421
Cr 0.000 0.000 0.000

=====

Which is most stable? The ranking, best first, is version 1, version 2.

=====

Version 1
8
Lattice="-2.120 4.414 -2.913 -3.856 -3.438 -2.403 -5.866 1.344 0.735" Properties=species:S:1:pos:R:3 comment="Cr2BrN (PBE, relaxed)" magmom_total_mub_per_fu=8.0 pbc="T T T"
Cr -7.110 0.956 -1.735
Cr -9.160 2.280 -3.808
Br -5.487 3.123 -2.418
N -6.355 -0.803 -2.163
Cr -3.016 2.128 -1.583
N -2.988 0.488 -2.658
Br 0.000 0.000 0.000
Cr -4.399 -0.724 -2.037

=====

Version 2
4
Lattice="-2.538 -2.191 -2.338 -4.027 0.114 0.691 -2.476 1.884 -2.651" Properties=species:S:1:pos:R:3 comment="Cr2BrN (PBE, relaxed)" magmom_total_mub_per_fu=4.0 pbc="T T T"
N 0.000 0.000 0.000
Br -4.521 -0.097 -2.149
Cr -6.781 -0.145 -3.224
Cr -2.260 -0.048 -1.075

=====

Which is most stable? The ranking, best first, is version 1, version 2.

=====

Version 1
5
Lattice="-0.957 -3.088 3.798 1.487 -3.870 -2.772 3.335 0.429 1.190" Properties=species:S:1:pos:R:3 comment="CrSe2BrN (PBE, relaxed)" magmom_total_mub_per_fu=0.0 pbc="T T T"
Se -0.479 -1.544 1.899
Br 1.932 -3.264 1.108
N 1.667 0.215 0.595
Se 0.744 -1.935 -1.386
Cr 0.000 0.000 0.000

=====

Version 2
5
Lattice="-3.392 -1.671 2.672 -1.799 -2.196 -3.657 2.987 -4.291 1.107" Properties=species:S:1:pos:R:3 comment="CrSe2BrN (PBE, relaxed)" magmom_total_mub_per_fu=2.9 pbc="T T T"
Br 1.493 -2.146 0.554
Se -1.696 -0.836 1.336
Cr 0.000 0.000 0.000
Se -0.900 -1.098 -1.829
N -1.102 -4.079 0.061

=====

Version 3
5
Lattice="5.232 0.000 0.000 0.000 5.232 0.000 0.000 0.000 3.647" Properties=species:S:1:pos:R:3 comment="CrSe2BrN (PBE, relaxed)" magmom_total_mub_per_fu=0.1 pbc="T T T"
Br 0.000 0.000 0.000
Cr 2.616 2.616 1.823
Se 0.000 2.616 0.000
Se 2.616 0.000 0.000
N 0.000 0.000 1.823

=====

Which is most stable? The ranking, best first, is version 1, version 2, version 3.

=====

Version 1
5
Lattice="-4.287 -1.994 -3.049 1.245 -5.227 1.668 -2.249 0.392 2.907" Properties=species:S:1:pos:R:3 comment="CrTe2BrN (PBE, relaxed)" magmom_total_mub_per_fu=0.6 pbc="T T T"
Br 0.000 0.000 0.000
Cr -2.646 -3.415 0.763
Te 0.622 -2.613 0.834
N -1.125 0.196 1.453
Te -2.144 -0.997 -1.524

=====

Version 2
5
Lattice="5.436 0.000 0.000 0.000 5.436 0.000 0.000 0.000 3.528" Properties=species:S:1:pos:R:3 comment="CrTe2BrN (PBE, relaxed)" magmom_total_mub_per_fu=0.0 pbc="T T T"
Br 2.718 2.718 1.764
Cr 0.000 0.000 0.000
Te 2.718 0.000 0.000
N 0.000 0.000 1.764
Te 0.000 2.718 0.000

=====

Which is most stable? The ranking, best first, is version 2, version 1.

=====

Version 1
5
Lattice="3.894 0.000 0.000 0.000 3.894 0.000 0.000 0.000 7.816" Properties=species:S:1:pos:R:3 comment="CrTeBrN2 (PBE, relaxed)" magmom_total_mub_per_fu=4.7 pbc="T T T"
N 0.000 1.947 0.000
N 1.947 0.000 0.000
Te 0.000 0.000 3.908
Br 0.000 0.000 0.000
Cr 1.947 1.947 3.908

=====

Version 2
5
Lattice="-2.453 -0.282 -3.008 -2.989 -0.334 2.469 -0.641 5.677 -0.009" Properties=species:S:1:pos:R:3 comment="CrTeBrN2 (PBE, relaxed)" magmom_total_mub_per_fu=0.5 pbc="T T T"
Cr 0.000 0.000 0.000
Br -3.042 2.531 -0.274
N -1.226 -0.141 -1.504
Te -0.321 2.839 -0.005
N -1.495 -0.167 1.234

=====

Which is most stable? The ranking, best first, is version 2, version 1.

=====

Version 1
8
Lattice="-0.828 -1.143 8.064 -7.870 -1.972 -1.088 -3.394 -5.143 3.078" Properties=species:S:1:pos:R:3 comment="Na2CrBr (PBE, relaxed)" magmom_total_mub_per_fu=5.1 pbc="T T T"
Cr -7.807 -4.336 2.739
Cr -4.349 -1.557 3.488
Br 0.000 0.000 0.000
Na -10.462 -6.659 8.370
Na -2.382 -2.291 5.986
Na -5.839 -2.617 0.785
Na -5.503 -4.949 4.966
Br -4.286 -3.922 7.315

=====

Version 2
4
Lattice="0.000 3.857 3.857 3.857 0.000 3.857 3.857 3.857 0.000" Properties=species:S:1:pos:R:3 comment="Na2CrBr (PBE, relaxed)" magmom_total_mub_per_fu=5.1 pbc="T T T"
Br 3.857 3.857 3.857
Na 1.928 1.928 1.928
Cr 0.000 0.000 0.000
Na 5.785 5.785 5.785

=====

Which is most stable? The ranking, best first, is version 1, version 2.